[1]
Density functional theory data (PBE) for crystalline La5Sn2Au at its relaxed geometry.

Properties
distance to the lowest polymorph of the same formula	131	meV/atom
energy of formation from the pure elements	-0.548	eV per atom

abc: 9.0805 10.3589 6.8716
angles: 90.00 131.25 90.00
Sites, in units of the cell vectors:
La (0.0000, 0.0000, 0.0000)
La (0.0079, 0.5000, 0.0124)
La (0.2530, 0.2527, 0.5046)
La (0.2530, 0.7473, 0.5046)
La (0.4920, 0.0000, 0.5047)
La (0.5000, 0.5000, 0.0000)
La (0.5079, 0.0000, 0.0124)
La (0.7530, 0.2473, 0.5046)
La (0.7530, 0.7527, 0.5046)
La (0.9920, 0.5000, 0.5047)
Sn (0.2512, 0.2489, 0.0037)
Sn (0.2512, 0.7511, 0.0037)
Sn (0.7512, 0.2511, 0.0037)
Sn (0.7512, 0.7489, 0.0037)
Au (0.0434, 0.0000, 0.5091)
Au (0.5434, 0.5000, 0.5091)


[2]
Density functional theory data (PBE) for crystalline ScZnOs at its relaxed geometry.

Properties
energy of formation from the pure elements	0.071	eV per atom

abc: 3.0619 3.0619 6.3494
angles: 90.00 90.00 120.00
Sites, in units of the cell vectors:
Sc (0.0000, 0.0000, 0.0000)
Zn (0.6667, 0.3333, 0.3744)
Os (0.3333, 0.6667, 0.6899)


[3]
Density functional theory data (PBE) for crystalline DyVS3 at its relaxed geometry.

Properties
formation energy without anion corrections	-1.362	eV/atom

abc: 9.2439 5.4069 8.5905
angles: 90.00 103.78 90.00
Sites, in units of the cell vectors:
Dy (0.1364, 0.2248, 0.1679)
Dy (0.1364, 0.2752, 0.6679)
Dy (0.8636, 0.7248, 0.3321)
Dy (0.8636, 0.7752, 0.8321)
V (0.4837, 0.7488, 0.0506)
V (0.4837, 0.7512, 0.5506)
V (0.5163, 0.2488, 0.4494)
V (0.5163, 0.2512, 0.9494)
S (0.0545, 0.7286, 0.1328)
S (0.0545, 0.7714, 0.6328)
S (0.3034, 0.0570, 0.9484)
S (0.3034, 0.4430, 0.4484)
S (0.4339, 0.5910, 0.7994)
S (0.4339, 0.9090, 0.2994)
S (0.5661, 0.0910, 0.7006)
S (0.5661, 0.4090, 0.2006)
S (0.6966, 0.5570, 0.5516)
S (0.6966, 0.9430, 0.0516)
S (0.9455, 0.2286, 0.3672)
S (0.9455, 0.2714, 0.8672)


[4]
Density functional theory data (PBE) for crystalline BS2I at its relaxed geometry.

Properties
distance to the lowest polymorph of the same formula	0	meV/atom
formation energy without anion corrections	0.286	eV/atom

abc: 5.4968 5.4968 15.9366
angles: 90.00 90.00 120.00
Sites, in units of the cell vectors:
B (0.0000, 0.0000, 0.0000)
B (0.3333, 0.6667, 0.6667)
B (0.6667, 0.3333, 0.3333)
S (0.0000, 0.0000, 0.1050)
S (0.0000, 0.0000, 0.8950)
S (0.3333, 0.6667, 0.5617)
S (0.3333, 0.6667, 0.7717)
S (0.6667, 0.3333, 0.2283)
S (0.6667, 0.3333, 0.4383)
I (0.0000, 0.0000, 0.5000)
I (0.3333, 0.6667, 0.1667)
I (0.6667, 0.3333, 0.8333)


no.,density of states at the Fermi level (states/eV per atom)
1,1.22
2,0.80
3,0.41
4,1.25